{"formula": "CsZrZn3", "functional": "GGA-PBE", "state": "relaxed", "ef_ev_per_atom": 1.579, "space_group": "Pm-3m", "lattice": [[5.8448, 0.0000, 0.0000], [0.0000, 5.8448, 0.0000], [0.0000, 0.0000, 5.8448]], "species": ["Zn", "Zn", "Zn", "Zr", "Cs"], "frac_coords": [[0.0000, 0.5000, 0.0000], [0.5000, 0.0000, 0.0000], [0.0000, 0.0000, 0.5000], [0.5000, 0.5000, 0.5000], [0.0000, 0.0000, 0.0000]]}

=====

{"formula": "CsZr", "functional": "GGA-PBE", "state": "relaxed", "ef_ev_per_atom": 0.829, "space_group": "Pnma", "e_above_lowest_polymorph_ev_per_atom": 0.2241, "lattice": [[-5.6366, -7.8346, 5.3197], [0.3298, -2.9915, -4.0562], [14.0063, -6.1993, 5.7107]], "species": ["Cs", "Cs", "Cs", "Cs", "Cs", "Cs", "Cs", "Cs", "Zr", "Zr", "Zr", "Zr", "Zr", "Zr", "Zr", "Zr"], "frac_coords": [[0.3570, 0.2500, 0.7839], [0.8570, 0.2500, 0.7161], [0.8150, 0.2500, 0.4307], [0.1430, 0.7500, 0.2839], [0.6430, 0.7500, 0.2161], [0.3150, 0.2500, 0.0693], [0.6850, 0.7500, 0.9307], [0.1850, 0.7500, 0.5693], [0.4270, 0.2500, 0.3817], [0.0133, 0.2500, 0.9621], [0.4867, 0.7500, 0.4621], [0.5133, 0.2500, 0.5379], [0.0730, 0.7500, 0.8817], [0.5730, 0.7500, 0.6183], [0.9270, 0.2500, 0.1183], [0.9867, 0.7500, 0.0379]]}

=====

{"formula": "CsZr", "functional": "GGA-PBE", "state": "relaxed", "ef_ev_per_atom": 1.128, "space_group": "I-43m", "e_above_lowest_polymorph_ev_per_atom": 0.5229, "lattice": [[11.6627, 0.0000, 0.0000], [0.0000, 11.6627, 0.0000], [0.0000, 0.0000, 11.6627]], "species": ["Cs", "Cs", "Cs", "Cs", "Cs", "Cs", "Cs", "Cs", "Zr", "Zr", "Zr", "Zr", "Zr", "Zr", "Zr", "Zr"], "frac_coords": [[0.7117, 0.7117, 0.2883], [0.2883, 0.2883, 0.2883], [0.2117, 0.2117, 0.7883], [0.7883, 0.2117, 0.2117], [0.2117, 0.7883, 0.2117], [0.7117, 0.2883, 0.7117], [0.2883, 0.7117, 0.7117], [0.7883, 0.7883, 0.7883], [0.9158, 0.0842, 0.9158], [0.0842, 0.9158, 0.9158], [0.4158, 0.5842, 0.4158], [0.5842, 0.4158, 0.4158], [0.9158, 0.9158, 0.0842], [0.4158, 0.4158, 0.5842], [0.0842, 0.0842, 0.0842], [0.5842, 0.5842, 0.5842]]}

=====

{"formula": "CsZr", "functional": "GGA-PBE", "state": "relaxed", "ef_ev_per_atom": 1.164, "space_group": "P6_3/mmc", "e_above_lowest_polymorph_ev_per_atom": 0.5586, "lattice": [[12.5483, 0.0000, 0.0000], [-6.2742, 10.8671, 0.0000], [0.0000, 0.0000, 3.3262]], "species": ["Cs", "Cs", "Cs", "Cs", "Cs", "Cs", "Zr", "Zr", "Zr", "Zr", "Zr", "Zr"], "frac_coords": [[0.1523, 0.8477, 0.7500], [0.6953, 0.8477, 0.7500], [0.8477, 0.1523, 0.2500], [0.1523, 0.3047, 0.7500], [0.3047, 0.1523, 0.2500], [0.8477, 0.6953, 0.2500], [0.8849, 0.4424, 0.2500], [0.4424, 0.8849, 0.7500], [0.5576, 0.4424, 0.2500], [0.5576, 0.1151, 0.2500], [0.1151, 0.5576, 0.7500], [0.4424, 0.5576, 0.7500]]}

=====

{"formula": "Cs4Zr", "functional": "GGA-PBE", "state": "relaxed", "ef_ev_per_atom": 0.820, "space_group": "Pm-3m", "lattice": [[-2.3007, 0.1074, 7.2359], [6.5472, -3.2035, 2.1293], [3.0827, 6.8840, 0.8780]], "species": ["Cs", "Cs", "Cs", "Cs", "Zr"], "frac_coords": [[0.5000, 0.5000, 0.0000], [0.5000, 0.0000, 0.5000], [0.0000, 0.5000, 0.5000], [0.0000, 0.0000, 0.0000], [0.5000, 0.5000, 0.5000]]}

=====

{"formula": "CsZr", "functional": "GGA-PBE", "state": "relaxed", "ef_ev_per_atom": 1.472, "space_group": "Fddd", "e_above_lowest_polymorph_ev_per_atom": 0.8673, "lattice": [[-9.2201, -2.9600, -2.2517], [-0.7679, -5.3458, 10.1720], [-4.7959, 10.8689, 5.3500]], "species": ["Cs", "Cs", "Cs", "Cs", "Cs", "Cs", "Cs", "Cs", "Cs", "Cs", "Cs", "Cs", "Cs", "Cs", "Cs", "Cs", "Zr", "Zr", "Zr", "Zr", "Zr", "Zr", "Zr", "Zr", "Zr", "Zr", "Zr", "Zr", "Zr", "Zr", "Zr", "Zr"], "frac_coords": [[0.5000, 0.1711, 0.5000], [0.5000, 0.8289, 0.5000], [0.0000, 0.3289, 0.5000], [0.5000, 0.6711, 0.0000], [0.7500, 0.9211, 0.7500], [0.5000, 0.3289, 0.0000], [0.2500, 0.0789, 0.7500], [0.2500, 0.9211, 0.2500], [0.7500, 0.5789, 0.7500], [0.0000, 0.6711, 0.5000], [0.0000, 0.1711, 0.0000], [0.0000, 0.8289, 0.0000], [0.2500, 0.4211, 0.7500], [0.7500, 0.0789, 0.2500], [0.2500, 0.5789, 0.2500], [0.7500, 0.4211, 0.2500], [0.1197, 0.5000, 0.0000], [0.3697, 0.2500, 0.2500], [0.8803, 0.0000, 0.5000], [0.6197, 0.5000, 0.5000], [0.1303, 0.7500, 0.7500], [0.8803, 0.5000, 0.0000], [0.3697, 0.7500, 0.7500], [0.8697, 0.2500, 0.7500], [0.6303, 0.7500, 0.2500], [0.1197, 0.0000, 0.5000], [0.6303, 0.2500, 0.7500], [0.3803, 0.5000, 0.5000], [0.8697, 0.7500, 0.2500], [0.1303, 0.2500, 0.2500], [0.6197, 0.0000, 0.0000], [0.3803, 0.0000, 0.0000]]}

=====

{"formula": "CsZr", "functional": "GGA-PBE", "state": "relaxed", "ef_ev_per_atom": 1.138, "space_group": "I4/m", "e_above_lowest_polymorph_ev_per_atom": 0.5330, "lattice": [[17.2763, 0.0000, 0.0000], [0.0000, 17.2763, 0.0000], [0.0000, 0.0000, 3.3318]], "species": ["Cs", "Cs", "Cs", "Cs", "Cs", "Cs", "Cs", "Cs", "Zr", "Zr", "Zr", "Zr", "Zr", "Zr", "Zr", "Zr"], "frac_coords": [[0.7473, 0.4627, 0.0000], [0.9627, 0.7527, 0.5000], [0.2473, 0.9627, 0.5000], [0.5373, 0.7473, 0.0000], [0.2527, 0.5373, 0.0000], [0.4627, 0.2527, 0.0000], [0.7527, 0.0373, 0.5000], [0.0373, 0.2473, 0.5000], [0.6840, 0.2520, 0.0000], [0.1840, 0.7520, 0.5000], [0.2520, 0.3160, 0.0000], [0.2480, 0.1840, 0.5000], [0.3160, 0.7480, 0.0000], [0.7520, 0.8160, 0.5000], [0.7480, 0.6840, 0.0000], [0.8160, 0.2480, 0.5000]]}

=====

{"formula": "CsZr", "functional": "GGA-PBE", "state": "relaxed", "ef_ev_per_atom": 2.294, "space_group": "Fm-3m", "e_above_lowest_polymorph_ev_per_atom": 1.6885, "lattice": [[-1.6896, -2.4220, -7.0734], [-4.3231, -5.6002, 2.9502], [-6.1000, 4.6397, -0.1315]], "species": ["Cs", "Cs", "Cs", "Cs", "Zr", "Zr", "Zr", "Zr"], "frac_coords": [[0.5000, 0.5000, 0.5000], [0.0000, 0.5000, 0.0000], [0.0000, 0.0000, 0.5000], [0.5000, 0.0000, 0.0000], [0.5000, 0.5000, 0.0000], [0.0000, 0.0000, 0.0000], [0.5000, 0.0000, 0.5000], [0.0000, 0.5000, 0.5000]]}

=====

{"formula": "CsZr", "functional": "GGA-PBE", "state": "relaxed", "ef_ev_per_atom": 1.172, "space_group": "P6_3mc", "e_above_lowest_polymorph_ev_per_atom": 0.5672, "lattice": [[3.3910, 0.0000, 0.0000], [-1.6955, 2.9367, 0.0000], [0.0000, 0.0000, 13.6849]], "species": ["Cs", "Cs", "Zr", "Zr"], "frac_coords": [[0.6667, 0.3333, 0.1610], [0.3333, 0.6667, 0.6610], [0.3333, 0.6667, 0.4210], [0.6667, 0.3333, 0.9210]]}

=====

{"formula": "CsZr", "functional": "GGA-PBE", "state": "relaxed", "ef_ev_per_atom": 0.954, "space_group": "Amm2", "e_above_lowest_polymorph_ev_per_atom": 0.3493, "lattice": [[-3.1545, -1.0317, 3.6089], [3.0500, -15.4094, -1.7391], [6.1499, 0.5915, 5.5446]], "species": ["Zr", "Zr", "Zr", "Zr", "Zr", "Zr", "Cs", "Cs", "Cs", "Cs", "Cs", "Cs"], "frac_coords": [[0.0000, 0.5000, 0.9493], [0.5000, 0.4137, 0.9862], [0.5000, 0.0863, 0.4862], [0.0000, 0.0000, 0.4493], [0.5000, 0.9137, 0.4862], [0.5000, 0.5863, 0.9862], [0.0000, 0.7283, 0.2919], [0.5000, 0.0000, 0.9924], [0.0000, 0.2717, 0.2919], [0.0000, 0.2283, 0.7919], [0.0000, 0.7717, 0.7919], [0.5000, 0.5000, 0.4924]]}

=====

{"formula": "CsZr", "functional": "GGA-PBE", "state": "relaxed", "ef_ev_per_atom": 2.901, "space_group": "Pm-3n", "e_above_lowest_polymorph_ev_per_atom": 2.2961, "lattice": [[8.4017, 0.0000, 0.0000], [0.0000, 8.4017, 0.0000], [0.0000, 0.0000, 8.4017]], "species": ["Zr", "Zr", "Zr", "Zr", "Zr", "Zr", "Cs", "Cs", "Cs", "Cs", "Cs", "Cs"], "frac_coords": [[0.7500, 0.5000, 0.0000], [0.5000, 0.0000, 0.2500], [0.0000, 0.7500, 0.5000], [0.0000, 0.2500, 0.5000], [0.5000, 0.0000, 0.7500], [0.2500, 0.5000, 0.0000], [0.5000, 0.2500, 0.0000], [0.0000, 0.5000, 0.2500], [0.7500, 0.0000, 0.5000], [0.2500, 0.0000, 0.5000], [0.0000, 0.5000, 0.7500], [0.5000, 0.7500, 0.0000]]}

=====

{"formula": "CsZr", "functional": "GGA-PBE", "state": "relaxed", "ef_ev_per_atom": 2.632, "space_group": "F-43m", "e_above_lowest_polymorph_ev_per_atom": 2.0275, "lattice": [[6.6151, 0.0000, 0.0000], [0.0000, 6.6151, 0.0000], [0.0000, 0.0000, 6.6151]], "species": ["Cs", "Cs", "Cs", "Cs", "Zr", "Zr", "Zr", "Zr"], "frac_coords": [[0.5000, 0.5000, 0.0000], [0.0000, 0.5000, 0.5000], [0.0000, 0.0000, 0.0000], [0.5000, 0.0000, 0.5000], [0.2500, 0.7500, 0.7500], [0.2500, 0.2500, 0.2500], [0.7500, 0.7500, 0.2500], [0.7500, 0.2500, 0.7500]]}

=====

{"formula": "CsZr", "functional": "GGA-PBE", "state": "relaxed", "ef_ev_per_atom": 0.605, "space_group": "P4/m", "e_above_lowest_polymorph_ev_per_atom": 0.0000, "lattice": [[-7.1520, 9.9494, -6.8416], [-9.5337, -9.5328, -3.8967], [-2.1181, 0.7609, 3.3207]], "species": ["Zr", "Zr", "Zr", "Zr", "Zr", "Zr", "Zr", "Zr", "Cs", "Cs", "Cs", "Cs", "Cs", "Cs", "Cs", "Cs"], "frac_coords": [[0.9773, 0.3949, 0.5000], [0.6051, 0.9773, 0.5000], [0.4773, 0.8949, 0.0000], [0.5227, 0.1051, 0.0000], [0.3949, 0.0227, 0.5000], [0.1051, 0.4773, 0.0000], [0.8949, 0.5227, 0.0000], [0.0227, 0.6051, 0.5000], [0.1750, 0.8646, 0.0000], [0.1354, 0.1750, 0.0000], [0.3637, 0.3252, 0.5000], [0.6363, 0.6748, 0.5000], [0.3252, 0.6363, 0.5000], [0.6748, 0.3637, 0.5000], [0.8646, 0.8250, 0.0000], [0.8250, 0.1354, 0.0000]]}

=====

{"formula": "Dy6Cu5", "functional": "GGA-PBE", "state": "relaxed", "ef_ev_per_atom": -0.175, "space_group": "Immm", "lattice": [[4.6698, 0.0049, -1.4453], [-0.7977, 6.3706, -2.5550], [0.0528, -0.3576, 8.4359]], "species": ["Dy", "Dy", "Dy", "Dy", "Dy", "Dy", "Cu", "Cu", "Cu", "Cu", "Cu"], "frac_coords": [[0.8349, 0.0849, 0.6699], [0.1651, 0.4150, 0.3301], [0.5000, 0.7484, 0.0000], [0.1651, 0.9151, 0.3301], [0.5000, 0.2516, 0.0000], [0.8349, 0.5850, 0.6699], [0.3313, 0.3313, 0.6626], [0.6687, 0.6687, 0.3374], [0.6714, 0.1714, 0.3429], [0.0000, 0.5000, 0.0000], [0.3286, 0.8286, 0.6571]]}

=====

{"formula": "DyCu5", "functional": "GGA-PBE", "state": "relaxed", "ef_ev_per_atom": -0.178, "space_group": "F-43m", "lattice": [[-3.4247, 3.6052, 0.2199], [-3.1796, 0.6458, -3.7746], [-4.8060, -1.1640, 0.5675]], "species": ["Cu", "Cu", "Cu", "Cu", "Cu", "Dy"], "frac_coords": [[0.6238, 0.6238, 0.1285], [0.1285, 0.6238, 0.6238], [0.6238, 0.6238, 0.6238], [0.6238, 0.1285, 0.6238], [0.2500, 0.2500, 0.2500], [0.0000, 0.0000, 0.0000]]}

=====

{"formula": "Dy3Cu", "functional": "GGA-PBE", "state": "relaxed", "ef_ev_per_atom": 0.105, "space_group": "Pmm2", "e_above_lowest_polymorph_ev_per_atom": 0.2021, "lattice": [[-0.7616, -1.8626, -2.9790], [-1.4158, -2.5308, 1.9443], [-8.0805, 4.1259, -0.5138]], "species": ["Cu", "Dy", "Dy", "Dy"], "frac_coords": [[0.0000, 0.0000, 0.9910], [0.5000, 0.0000, 0.7428], [0.5000, 0.5000, 0.1337], [0.0000, 0.5000, 0.4658]]}

=====

{"formula": "DyCu5", "functional": "GGA-PBE", "state": "relaxed", "ef_ev_per_atom": -0.188, "space_group": "P6/mmm", "lattice": [[4.1028, 0.0000, 0.0000], [0.0000, 5.0259, 0.0000], [0.0000, -2.5129, 4.3525]], "species": ["Cu", "Cu", "Cu", "Cu", "Cu", "Dy"], "frac_coords": [[0.5000, 0.5000, 0.0000], [0.5000, 0.0000, 0.5000], [0.5000, 0.5000, 0.5000], [0.0000, 0.6667, 0.3333], [0.0000, 0.3333, 0.6667], [0.0000, 0.0000, 0.0000]]}

=====

{"formula": "DyCu11", "functional": "GGA-PBE", "state": "relaxed", "ef_ev_per_atom": -0.082, "space_group": "I4_1/amd", "lattice": [[5.9516, 0.0000, 2.7142], [2.9758, 7.0606, 1.3571], [0.0461, 0.0000, 7.7812]], "species": ["Cu", "Cu", "Cu", "Cu", "Cu", "Cu", "Cu", "Cu", "Cu", "Cu", "Cu", "Cu", "Cu", "Cu", "Cu", "Cu", "Cu", "Cu", "Cu", "Cu", "Cu", "Cu", "Dy", "Dy"], "frac_coords": [[0.5994, 0.3286, 0.0837], [0.8750, 0.2500, 0.7500], [0.7384, 0.8286, 0.5837], [0.3750, 0.7500, 0.7500], [0.6779, 0.5837, 0.1714], [0.3169, 0.6714, 0.0837], [0.5994, 0.0837, 0.3286], [0.7384, 0.5837, 0.8286], [0.1506, 0.1714, 0.4163], [0.0721, 0.3286, 0.9163], [0.7500, 0.5000, 0.5000], [0.6779, 0.1714, 0.5837], [0.4331, 0.4163, 0.8286], [0.8750, 0.2500, 0.2500], [0.8750, 0.7500, 0.2500], [0.0116, 0.6714, 0.9163], [0.4331, 0.8286, 0.4163], [0.1506, 0.4163, 0.1714], [0.3169, 0.0837, 0.6714], [0.0721, 0.9163, 0.3286], [0.0000, 0.0000, 0.0000], [0.0116, 0.9163, 0.6714], [0.2500, 0.5000, 0.5000], [0.5000, 0.0000, 0.0000]]}

=====

{"formula": "Dy3Cu11", "functional": "GGA-PBE", "state": "relaxed", "ef_ev_per_atom": -0.201, "space_group": "Immm", "lattice": [[-0.1225, 4.1135, -0.6393], [-0.6408, 3.1879, 7.0692], [6.8228, 2.7119, 2.5770]], "species": ["Dy", "Dy", "Dy", "Cu", "Cu", "Cu", "Cu", "Cu", "Cu", "Cu", "Cu", "Cu", "Cu", "Cu"], "frac_coords": [[0.3065, 0.6935, 0.6935], [0.0000, 0.0000, 0.0000], [0.6935, 0.3065, 0.3065], [0.6751, 0.6811, 0.9687], [0.6751, 0.9687, 0.6811], [0.0000, 0.5000, 0.5000], [0.3249, 0.3189, 0.0313], [0.8783, 0.8422, 0.4012], [0.5000, 0.2918, 0.7082], [0.5000, 0.7082, 0.2918], [0.8783, 0.4012, 0.8422], [0.3249, 0.0313, 0.3189], [0.1217, 0.5988, 0.1578], [0.1217, 0.1578, 0.5988]]}

=====

{"formula": "Dy3Cu", "functional": "GGA-PBE", "state": "relaxed", "ef_ev_per_atom": -0.062, "space_group": "Imm2", "e_above_lowest_polymorph_ev_per_atom": 0.0352, "lattice": [[-1.7787, -3.1528, -0.1966], [1.1500, -0.9635, 5.0453], [-4.3505, 4.5934, -0.8769]], "species": ["Dy", "Dy", "Dy", "Cu"], "frac_coords": [[0.5000, 0.4158, 0.0000], [0.7057, 0.1213, 0.4114], [0.2943, 0.7099, 0.5886], [0.0000, 0.9197, 0.0000]]}

=====

{"formula": "Dy2Cu3", "functional": "GGA-PBE", "state": "relaxed", "ef_ev_per_atom": -0.249, "space_group": "Cmcm", "lattice": [[3.5363, 0.0000, -0.5821], [0.0000, 4.2948, 0.0000], [0.3066, 0.0000, 12.8947]], "species": ["Cu", "Cu", "Cu", "Cu", "Cu", "Cu", "Dy", "Dy", "Dy", "Dy"], "frac_coords": [[0.9773, 0.7500, 0.9547], [0.8290, 0.2500, 0.6581], [0.8824, 0.7500, 0.7648], [0.0227, 0.2500, 0.0453], [0.1176, 0.2500, 0.2352], [0.1710, 0.7500, 0.3419], [0.5711, 0.7500, 0.1422], [0.7039, 0.2500, 0.4079], [0.2961, 0.7500, 0.5921], [0.4289, 0.2500, 0.8578]]}